Here is a relaxed structure of Ca2Ga4HgPd3 from the Alexandria database. Energies are from GGA-PBE.

Structure (CIF):
```
data_Ca2Ga4HgPd3
_space_group_name_H-M_alt 'P -4 m 2'
_space_group_IT_number 115
_cell_length_a 4.2323
_cell_length_b 4.2323
_cell_length_c 11.2273
_cell_angle_alpha 90.00
_cell_angle_beta 90.00
_cell_angle_gamma 90.00
loop_
_space_group_symop_operation_xyz
'x,y,z'
'y,-x,-z'
'-x,-y,z'
'-y,x,-z'
'-x,y,z'
'-y,-x,-z'
'x,-y,z'
'y,x,-z'
loop_
_atom_site_label
_atom_site_type_symbol
_atom_site_fract_x
_atom_site_fract_y
_atom_site_fract_z
_atom_site_occupancy
Ca1 Ca 0.0000 0.5000 0.2406 1
Ga1 Ga 0.0000 0.0000 0.0000 1
Ga2 Ga 0.0000 0.5000 0.6477 1
Ga3 Ga 0.5000 0.5000 0.0000 1
Hg1 Hg 0.0000 0.0000 0.5000 1
Pd1 Pd 0.0000 0.5000 0.8698 1
Pd2 Pd 0.5000 0.5000 0.5000 1
```

DFT total energy: -3.7915 eV per atom
formation energy from the elements: -592 meV/atom
total moment: 0.000 μB/atom